1.
First-principles (PBE) data for a relaxed V6RuRh crystal, as listed in the Alexandria database.

abc: 5.969 8.492 4.245
angles: 90.00 90.00 90.00
Space group Cmmm (No. 65)
One atom of each set of equivalent atoms:
V 0.000 0.249 0.000 x4
V 0.244 0.500 0.000 x4
V 0.250 0.250 0.500 x4
Ru 0.000 0.500 0.500 x2
Rh 0.000 0.000 0.500 x2

Values from the calculation:
Crystal system: orthorhombic
E: -9.19 eV per atom

---

2.
First-principles (PBE) data for a relaxed V6RuRh5 crystal, as listed in the Alexandria database.

abc: 8.787 8.156 4.700
angles: 90.00 100.11 90.00
Space group C2/m (No. 12)
One atom of each set of equivalent atoms:
V 0.249 0.000 0.255 x4
V 0.249 0.333 0.248 x8
Ru 0.000 0.000 0.500 x2
Rh 0.000 0.166 0.000 x4
Rh 0.000 0.332 0.500 x4
Rh 0.000 0.500 0.000 x2

Values from the calculation:
Crystal system: monoclinic
Excess energy over the best structure of this formula in the dataset: 148 meV/atom
E: -8.58 eV per atom

---

3.
First-principles (PBE) data for a relaxed V3RuRh6 crystal, as listed in the Alexandria database.

abc: 7.221 4.318 9.405
angles: 90.00 109.28 90.00
Space group P2_1/m (No. 11)
One atom of each set of equivalent atoms:
V 0.086 0.250 0.236 x2
V 0.300 0.250 0.031 x2
V 0.307 0.750 0.368 x2
Ru 0.097 0.750 0.567 x2
Rh 0.093 0.250 0.732 x2
Rh 0.108 0.750 0.072 x2
Rh 0.296 0.250 0.530 x2
Rh 0.299 0.750 0.867 x2
Rh 0.491 0.250 0.329 x2
Rh 0.499 0.750 0.165 x2

Values from the calculation:
Crystal system: monoclinic
E: -8.40 eV per atom

---

4.
First-principles (PBE) data for a relaxed VRuRh2 crystal, as listed in the Alexandria database.

abc: 3.690 3.690 17.696
angles: 90.00 90.00 90.00
Space group I-42d (No. 122)
One atom of each set of equivalent atoms:
V 0.000 0.000 0.000 x4
Ru 0.000 0.000 0.500 x4
Rh 0.247 0.250 0.125 x8

Values from the calculation:
Crystal system: tetragonal
E: -8.01 eV per atom

---

5.
First-principles (PBE) data for a relaxed V4RuRh3 crystal, as listed in the Alexandria database.

abc: 8.663 5.545 4.578
angles: 90.00 90.00 90.00
Space group Pmma (No. 51)
One atom of each set of equivalent atoms:
V 0.000 0.249 0.000 x4
V 0.250 0.247 0.378 x4
Ru 0.000 0.000 0.500 x2
Rh 0.000 0.500 0.500 x2
Rh 0.250 0.000 0.882 x2
Rh 0.250 0.500 0.881 x2

Values from the calculation:
Crystal system: orthorhombic
E: -8.78 eV per atom

---

6.
First-principles (PBE) data for a relaxed V3Ru5Rh crystal, as listed in the Alexandria database.

abc: 7.3388 7.3388 5.3261
angles: 90.00 90.00 120.00
Space group P6_3/mcm (No. 193)
One atom of each set of equivalent atoms:
V 0.0000 0.3405 0.2500 x6
Ru 0.0000 0.3302 0.7500 x6
Ru 0.3333 0.6667 0.0000 x4
Rh 0.0000 0.0000 0.0000 x2

Values from the calculation:
Crystal system: hexagonal
E: -9.20 eV per atom

---

7.
First-principles (PBE) data for a relaxed V11Ru4Rh9 crystal, as listed in the Alexandria database.

abc: 13.934 16.924 2.834
angles: 90.00 90.00 90.00
Space group Cmmm (No. 65)
One atom of each set of equivalent atoms:
V 0.000 0.000 0.000 x2
V 0.000 0.153 0.000 x4
V 0.000 0.362 0.000 x4
V 0.246 0.000 0.000 x4
V 0.248 0.180 0.000 x8
Ru 0.155 0.414 0.500 x8
Rh 0.000 0.500 0.500 x2
Rh 0.105 0.254 0.500 x8
Rh 0.132 0.086 0.500 x8

Values from the calculation:
Crystal system: orthorhombic
E: -8.75 eV per atom

---

8.
First-principles (PBE) data for a relaxed V2Ru2Rh7 crystal, as listed in the Alexandria database.

abc: 8.811 8.719 4.686
angles: 90.00 117.28 90.00
Space group C2/m (No. 12)
One atom of each set of equivalent atoms:
V 0.242 0.000 0.434 x4
Ru 0.000 0.322 0.500 x4
Rh 0.000 0.500 0.000 x2
Rh 0.113 0.000 0.811 x4
Rh 0.172 0.250 0.176 x8

Values from the calculation:
Crystal system: monoclinic
E: -7.99 eV per atom

---

9.
First-principles (PBE) data for a relaxed V6Ru5Rh crystal, as listed in the Alexandria database.

abc: 4.096 6.526 6.487
angles: 90.00 108.23 90.00
Space group P2/m (No. 10)
One atom of each set of equivalent atoms:
V 0.000 0.242 0.000 x2
V 0.332 0.249 0.663 x4
Ru 0.163 0.500 0.325 x2
Ru 0.167 0.000 0.335 x2
Ru 0.500 0.000 0.000 x1
Rh 0.500 0.500 0.000 x1

Values from the calculation:
Crystal system: monoclinic
Excess energy over the best structure of this formula in the dataset: 42 meV/atom
E: -9.26 eV per atom

---

10.
First-principles (PBE) data for a relaxed V3Ru3Rh2 crystal, as listed in the Alexandria database.

abc: 3.675 3.823 7.882
angles: 90.00 90.00 90.00
Space group Pmmm (No. 47)
One atom of each set of equivalent atoms:
V 0.000 0.000 0.000 x1
V 0.000 0.500 0.267 x2
Ru 0.000 0.000 0.500 x1
Ru 0.500 0.500 0.000 x1
Ru 0.500 0.500 0.500 x1
Rh 0.500 0.000 0.249 x2

Values from the calculation:
Crystal system: orthorhombic
E: -8.96 eV per atom

---

11.
First-principles (PBE) data for a relaxed V4RuRh crystal, as listed in the Alexandria database.

abc: 7.080 4.315 7.041
angles: 90.00 115.70 90.00
Space group C2/m (No. 12)
One atom of each set of equivalent atoms:
V 0.112 0.000 0.383 x4
V 0.119 0.500 0.891 x4
Ru 0.000 0.000 0.000 x2
Rh 0.000 0.500 0.500 x2

Values from the calculation:
Crystal system: monoclinic
Excess energy over the best structure of this formula in the dataset: 518 meV/atom
E: -8.53 eV per atom

---

12.
First-principles (PBE) data for a relaxed V3RuRh crystal, as listed in the Alexandria database.

abc: 4.459 4.459 4.459
angles: 90.00 90.00 90.00
Space group Pm-3m (No. 221)
One atom of each set of equivalent atoms:
V 0.000 0.000 0.500 x3
Ru 0.000 0.000 0.000 x1
Rh 0.500 0.500 0.500 x1

Values from the calculation:
Crystal system: cubic
Excess energy over the best structure of this formula in the dataset: 1192 meV/atom
E: -7.74 eV per atom

---

13.
First-principles (PBE) data for a relaxed VRu3Rh crystal, as listed in the Alexandria database.

abc: 4.636 4.636 4.636
angles: 90.00 90.00 90.00
Space group Pm-3m (No. 221)
One atom of each set of equivalent atoms:
V 0.000 0.000 0.000 x1
Ru 0.000 0.500 0.500 x3
Rh 0.500 0.500 0.500 x1

Values from the calculation:
Crystal system: cubic
Excess energy over the best structure of this formula in the dataset: 724 meV/atom
E: -6.98 eV per atom

---

14.
First-principles (PBE) data for a relaxed VRuRh2 crystal, as listed in the Alexandria database.

abc: 4.2617 4.2617 11.0158
angles: 90.00 90.00 120.00
Space group R-3m (No. 166, hexagonal axes)
One atom of each set of equivalent atoms:
V 0.0000 0.0000 0.0000 x3
Ru 0.0000 0.0000 0.5000 x3
Rh 0.0000 0.0000 0.2652 x6

Values from the calculation:
Crystal system: trigonal
E: -8.13 eV per atom

---

15.
First-principles (PBE) data for a relaxed V2RuRh6 crystal, as listed in the Alexandria database.

abc: 11.491 3.775 6.096
angles: 90.00 108.20 90.00
Space group C2/m (No. 12)
One atom of each set of equivalent atoms:
V 0.056 0.000 0.319 x4
Ru 0.000 0.500 0.000 x2
Rh 0.107 0.500 0.662 x4
Rh 0.163 0.000 0.001 x4
Rh 0.216 0.500 0.334 x4

Values from the calculation:
Crystal system: monoclinic
E: -8.20 eV per atom

---

16.
First-principles (PBE) data for a relaxed VRu4Rh2 crystal, as listed in the Alexandria database.

abc: 5.031 8.266 4.838
angles: 90.00 93.28 90.00
Space group C2/m (No. 12)
One atom of each set of equivalent atoms:
V 0.000 0.000 0.000 x2
Ru 0.000 0.172 0.500 x4
Ru 0.250 0.250 0.000 x4
Rh 0.043 0.500 0.257 x4

Values from the calculation:
Crystal system: monoclinic
E: -8.59 eV per atom

---

17.
First-principles (PBE) data for a relaxed V2RuRh crystal, as listed in the Alexandria database.

abc: 6.649 6.649 5.391
angles: 90.00 90.00 90.00
Space group I-42d (No. 122)
One atom of each set of equivalent atoms:
V 0.245 0.250 0.125 x8
Ru 0.000 0.000 0.000 x4
Rh 0.000 0.000 0.500 x4

Values from the calculation:
Crystal system: tetragonal
Excess energy over the best structure of this formula in the dataset: 574 meV/atom
E: -8.45 eV per atom

---

18.
First-principles (PBE) data for a relaxed V3RuRh4 crystal, as listed in the Alexandria database.

abc: 8.713 5.425 4.662
angles: 90.00 90.00 90.00
Space group Pmma (No. 51)
One atom of each set of equivalent atoms:
V 0.000 0.000 0.000 x2
V 0.250 0.000 0.348 x2
V 0.250 0.500 0.326 x2
Ru 0.000 0.500 0.000 x2
Rh 0.000 0.250 0.500 x4
Rh 0.250 0.249 0.848 x4

Values from the calculation:
Crystal system: orthorhombic
E: -8.58 eV per atom

---

19.
First-principles (PBE) data for a relaxed V4RuRh5 crystal, as listed in the Alexandria database.

abc: 4.011 7.788 9.296
angles: 90.00 90.00 90.00
Space group Immm (No. 71)
One atom of each set of equivalent atoms:
V 0.000 0.000 0.250 x4
V 0.000 0.313 0.000 x4
Ru 0.000 0.000 0.000 x2
Rh 0.000 0.000 0.500 x2
Rh 0.000 0.315 0.340 x8

Values from the calculation:
Crystal system: orthorhombic
E: -8.39 eV per atom

---

20.
First-principles (PBE) data for a relaxed VRu3Rh crystal, as listed in the Alexandria database.

abc: 5.1833 5.1833 12.5835
angles: 90.00 90.00 120.00
Space group R-3m (No. 166, hexagonal axes)
One atom of each set of equivalent atoms:
V 0.0000 0.0000 0.0000 x3
Ru 0.0000 0.5000 0.0000 x9
Rh 0.0000 0.0000 0.5000 x3

Values from the calculation:
Crystal system: trigonal
Excess energy over the best structure of this formula in the dataset: 0 meV/atom
E: -7.70 eV per atom

---

21.
First-principles (PBE) data for a relaxed V3RuRh crystal, as listed in the Alexandria database.

abc: 14.501 2.891 6.887
angles: 90.00 105.67 90.00
Space group C2/m (No. 12)
One atom of each set of equivalent atoms:
V 0.044 0.000 0.248 x4
V 0.186 0.500 0.402 x4
V 0.246 0.000 0.156 x4
Ru 0.106 0.000 0.620 x4
Rh 0.094 0.500 0.975 x4

Values from the calculation:
Crystal system: monoclinic
Excess energy over the best structure of this formula in the dataset: 0 meV/atom
E: -8.93 eV per atom

---

22.
First-principles (PBE) data for a relaxed VRuRhW crystal, as listed in the Alexandria database.

abc: 6.153 6.153 6.153
angles: 90.00 90.00 90.00
Space group F-43m (No. 216)
One atom of each set of equivalent atoms:
V 0.000 0.000 0.000 x4
Ru 0.000 0.000 0.500 x4
Rh 0.250 0.250 0.750 x4
W 0.250 0.250 0.250 x4

Values from the calculation:
Crystal system: cubic
Excess energy over the best structure of this formula in the dataset: 0 meV/atom
E: -9.59 eV per atom

---

Result set for formation energy from the elements: -26.5; -17.5; -31.2; 25.3; -29.4; -18.0; -26.3; 3.1; -21.4; -22.0; 31.1; 102.2; 181.5; 14.3; -23.8; 11.1; 25.6; -31.3; -13.8; 111.7; -12.8; 7.8 kJ/mol of atoms, one per record in the order listed.